VASP calculation (PBE-GGA) on a relaxed structure of HoTaCo4.

Unit cell a=4.8877 b=4.8877 c=4.8877 alpha=60.00 beta=60.00 gamma=60.00
Last column: magnetic moment on the atom in μB.
Fractional coordinates of all 6 atoms:
1 Co 0.6249 0.6249 0.1254  0.67
2 Co 0.6249 0.6249 0.6249  0.67
3 Co 0.1254 0.6249 0.6249  0.67
4 Co 0.6249 0.1254 0.6249  0.67
5 Ta 0.2500 0.2500 0.2500  -0.26
6 Ho 0.0000 0.0000 0.0000  -0.17

Summary:
- crystal system = cubic
- E_form (eV/atom) = -0.114

VASP calculation (PBE-GGA) on a relaxed structure of Tb4HoCo4.

Unit cell a=5.6045 b=8.3945 c=8.3945 alpha=90.00 beta=90.00 gamma=90.00
Fractional coordinates of all 18 atoms:
1 Co 0.3621 0.6372 0.7616
2 Co 0.1379 0.8628 0.7384
3 Co 0.8621 0.2616 0.8628
4 Co 0.6379 0.2384 0.6372
5 Co 0.1379 0.1372 0.2616
6 Co 0.6379 0.7616 0.3628
7 Co 0.3621 0.3628 0.2384
8 Co 0.8621 0.7384 0.1372
9 Tb 0.3811 0.6908 0.0747
10 Tb 0.3811 0.3092 0.9253
11 Tb 0.1189 0.1908 0.5747
12 Tb 0.6189 0.0747 0.3092
13 Tb 0.8811 0.4253 0.1908
14 Tb 0.6189 0.9253 0.6908
15 Tb 0.1189 0.8092 0.4253
16 Tb 0.8811 0.5747 0.8092
17 Ho 0.0000 0.0000 0.0000
18 Ho 0.5000 0.5000 0.5000

Summary:
- crystal system = tetragonal
- E_form (eV/atom) = -0.058

VASP calculation (PBE-GGA) on a relaxed structure of Tb3HoCo.

Unit cell a=5.2869 b=5.2869 c=5.2869 alpha=90.00 beta=90.00 gamma=90.00
Fractional coordinates of all 5 atoms:
1 Tb 0.5000 0.0000 0.0000
2 Tb 0.0000 0.0000 0.5000
3 Tb 0.0000 0.5000 0.0000
4 Ho 0.5000 0.5000 0.5000
5 Co 0.0000 0.0000 0.0000

Summary:
- crystal system = cubic
- relative energy among the computed polymorphs (kJ/mol of formula units) = 62.1
- E_form (eV/atom) = 0.023

VASP calculation (PBE-GGA) on a relaxed structure of Tb5Ho4Co2.

Unit cell a=3.5233 b=8.8084 c=9.8450 alpha=93.24 beta=90.00 gamma=90.00
Fractional coordinates of all 11 atoms:
1 Ho 0.5000 0.1837 0.8203
2 Ho 0.5000 0.8163 0.1797
3 Ho 0.5000 0.1835 0.4671
4 Ho 0.5000 0.8165 0.5329
5 Tb 0.0000 0.4778 0.6657
6 Tb 0.0000 0.5222 0.3343
7 Tb 0.0000 0.1510 0.1463
8 Tb 0.0000 0.5000 0.0000
9 Tb 0.0000 0.8490 0.8537
10 Co 0.0000 0.9619 0.3534
11 Co 0.0000 0.0381 0.6466

Summary:
- crystal system = monoclinic
- E_form (eV/atom) = 0.001

VASP calculation (PBE-GGA) on a relaxed structure of Tb2Ho5Co4.

Unit cell a=3.7105 b=7.8718 c=11.4969 alpha=127.70 beta=99.29 gamma=90.00
Last column: magnetic moment on the atom in μB.
Fractional coordinates of all 11 atoms:
1 Co 0.0578 0.3555 0.1155  0.68
2 Co 0.6246 0.5334 0.2492  0.97
3 Co 0.9422 0.6445 0.8845  0.68
4 Co 0.3754 0.4666 0.7508  0.97
5 Ho 0.5000 0.0000 0.0000  -0.14
6 Ho 0.8359 0.6861 0.6718  -0.08
7 Ho 0.9180 0.2502 0.8360  -0.14
8 Ho 0.1641 0.3139 0.3282  -0.08
9 Ho 0.0820 0.7498 0.1640  -0.14
10 Tb 0.2422 0.8194 0.4843  -0.07
11 Tb 0.7578 0.1806 0.5157  -0.07

Summary:
- crystal system = monoclinic
- E_form (eV/atom) = 0.004

VASP calculation (PBE-GGA) on a relaxed structure of Tb2HoCo6.

Unit cell a=4.0425 b=6.6617 c=6.6617 alpha=120.00 beta=90.00 gamma=90.00
Last column: magnetic moment on the atom in μB.
Fractional coordinates of all 9 atoms:
1 Ho 0.0000 0.0000 0.0000  -0.19
2 Co 0.5000 0.0000 0.6672  0.85
3 Co 0.5000 0.6672 0.6672  0.85
4 Co 0.5000 0.6672 0.0000  0.85
5 Co 0.5000 0.0000 0.3328  0.85
6 Co 0.5000 0.3328 0.3328  0.85
7 Co 0.5000 0.3328 0.0000  0.85
8 Tb 0.0000 0.6667 0.3333  -0.17
9 Tb 0.0000 0.3333 0.6667  -0.17

Summary:
- crystal system = hexagonal
- E_form (eV/atom) = -0.179

VASP calculation (PBE-GGA) on a relaxed structure of TbHo2Co.

Unit cell a=6.2339 b=6.9209 c=9.3846 alpha=90.00 beta=90.00 gamma=90.00
Fractional coordinates of all 16 atoms:
1 Ho 0.6767 0.8263 0.9321
2 Ho 0.6767 0.8263 0.5679
3 Ho 0.1767 0.6737 0.4321
4 Ho 0.8233 0.3263 0.9321
5 Ho 0.3233 0.1737 0.0679
6 Ho 0.3233 0.1737 0.4321
7 Ho 0.8233 0.3263 0.5679
8 Ho 0.1767 0.6737 0.0679
9 Co 0.0500 0.3869 0.2500
10 Co 0.9500 0.6131 0.7500
11 Co 0.4500 0.8869 0.2500
12 Co 0.5500 0.1131 0.7500
13 Tb 0.6407 0.5426 0.2500
14 Tb 0.1407 0.9574 0.7500
15 Tb 0.3593 0.4574 0.7500
16 Tb 0.8593 0.0426 0.2500

Summary:
- crystal system = orthorhombic
- relative energy among the computed polymorphs (kJ/mol of formula units) = 0.0
- E_form (eV/atom) = -0.167

VASP calculation (PBE-GGA) on a relaxed structure of TbHo2Co.

Unit cell a=3.6510 b=6.2495 c=9.3365 alpha=90.00 beta=90.00 gamma=107.00
Fractional coordinates of all 8 atoms:
1 Co 0.2535 0.5069 0.7500
2 Co 0.7465 0.4931 0.2500
3 Ho 0.8589 0.7183 0.5721
4 Ho 0.8589 0.7183 0.9279
5 Ho 0.1411 0.2817 0.0721
6 Ho 0.1411 0.2817 0.4279
7 Tb 0.4155 0.8316 0.2500
8 Tb 0.5845 0.1684 0.7500

Summary:
- crystal system = orthorhombic
- relative energy among the computed polymorphs (kJ/mol of formula units) = 10.0
- E_form (eV/atom) = -0.141

VASP calculation (PBE-GGA) on a relaxed structure of TbHo6Co2.

Unit cell a=8.4674 b=8.4674 c=8.4674 alpha=107.32 beta=109.05 gamma=112.08
Fractional coordinates of all 18 atoms:
1 Ho 0.2147 0.2415 0.4562
2 Ho 0.2147 0.7585 0.9733
3 Ho 0.5267 0.7125 0.8142
4 Ho 0.6843 0.3660 0.6817
5 Ho 0.6843 0.0026 0.3183
6 Ho 0.3157 0.6340 0.3183
7 Ho 0.4733 0.2875 0.1858
8 Ho 0.1017 0.2875 0.8142
9 Ho 0.7853 0.2415 0.0267
10 Ho 0.8983 0.7125 0.1858
11 Ho 0.7853 0.7585 0.5438
12 Ho 0.3157 0.9974 0.6817
13 Co 0.6931 0.0000 0.6931
14 Co 0.5000 0.3867 0.8867
15 Co 0.3069 0.0000 0.3069
16 Co 0.5000 0.6133 0.1133
17 Tb 0.0000 0.5000 0.5000
18 Tb 0.0000 0.0000 0.0000

Summary:
- crystal system = orthorhombic
- E_form (eV/atom) = -0.070

VASP calculation (PBE-GGA) on a relaxed structure of TbHo3Co2.

Unit cell a=6.5298 b=6.8666 c=8.1021 alpha=115.07 beta=113.76 gamma=90.00
Fractional coordinates of all 12 atoms:
1 Co 0.4146 0.6355 0.2711
2 Co 0.5854 0.3645 0.7289
3 Co 0.8565 0.1355 0.2711
4 Co 0.1435 0.8645 0.7289
5 Tb 0.0000 0.0000 0.0000
6 Tb 0.0000 0.5000 0.0000
7 Ho 0.7633 0.0133 0.5267
8 Ho 0.5000 0.2500 0.0000
9 Ho 0.7633 0.5133 0.5267
10 Ho 0.5000 0.7500 0.0000
11 Ho 0.2367 0.9867 0.4733
12 Ho 0.2367 0.4867 0.4733

Summary:
- crystal system = orthorhombic
- relative energy among the computed polymorphs (kJ/mol of formula units) = 50.7
- E_form (eV/atom) = -0.074